No. 1
## PrDy2Se (PBE-GGA)

Data for crystalline PrDy2Se at its relaxed geometry.

ΔE to the lowest computed polymorph in meV/atom: 217
Volume in A^3/atom: 31.6
DOS(E_F) in states/eV per cell: 5.61

Cell lengths 3.7309, 3.7309, 10.7185 Å; angles 79.98, 79.98, 60.00 degrees
Fractional positions:
Dy  0.8904  0.8904  0.3289
Dy  0.1096  0.1096  0.6711
Se  0.5000  0.5000  0.5000
Pr  0.0000  0.0000  0.0000

---

No. 2
## Pr2DySe4 (PBE-GGA)

Data for crystalline Pr2DySe4 at its relaxed geometry.

ΔE to the lowest computed polymorph in meV/atom: 39
Volume in A^3/atom: 28.8
DOS(E_F) in states/eV per cell: 4.24

Cell lengths 4.0425, 7.3221, 14.1638 Å; angles 90.00, 90.00, 106.02 degrees
Fractional positions:
Dy  0.6280  0.2560  0.7500
Pr  0.1301  0.2601  0.0722
Se  0.5000  0.0000  0.0000
Se  0.2187  0.4374  0.6263
Pr  0.1301  0.2601  0.4278
Pr  0.8699  0.7399  0.9278
Se  0.7813  0.5626  0.1263
Pr  0.8699  0.7399  0.5722
Dy  0.3720  0.7440  0.2500
Se  0.2187  0.4374  0.8737
Se  0.9817  0.9633  0.7500
Se  0.0183  0.0367  0.2500
Se  0.7813  0.5626  0.3737
Se  0.5000  0.0000  0.5000

---

No. 3
## PrDySe3 (PBE-GGA)

Data for crystalline PrDySe3 at its relaxed geometry.

ΔE to the lowest computed polymorph in meV/atom: 0
Volume in A^3/atom: 26.2

Cell lengths 4.1740, 7.7757, 16.1671 Å; angles 90.00, 90.00, 90.00 degrees
Fractional positions:
Se  0.7500  0.9906  0.6053
Dy  0.7500  0.7291  0.0427
Se  0.2500  0.5094  0.1053
Se  0.2500  0.0094  0.3947
Pr  0.7500  0.8595  0.7993
Se  0.2500  0.6514  0.7150
Dy  0.2500  0.2709  0.9573
Se  0.2500  0.8776  0.9382
Se  0.7500  0.8486  0.2150
Se  0.2500  0.1514  0.7850
Se  0.7500  0.6224  0.4382
Pr  0.2500  0.1405  0.2007
Se  0.7500  0.4906  0.8947
Pr  0.7500  0.3595  0.7007
Dy  0.2500  0.7709  0.5427
Pr  0.2500  0.6405  0.2993
Se  0.2500  0.3776  0.5618
Dy  0.7500  0.2291  0.4573
Se  0.7500  0.1224  0.0618
Se  0.7500  0.3486  0.2850

---

No. 4
## PrDy2Se (PBE-GGA)

Data for crystalline PrDy2Se at its relaxed geometry.

ΔE to the lowest computed polymorph in meV/atom: 0
Volume in A^3/atom: 30.2
DOS(E_F) in states/eV per cell: 4.33

Cell lengths 3.8111, 3.8111, 9.8663 Å; angles 78.86, 78.86, 60.00 degrees
Fractional positions:
Se  0.6668  0.6668  0.9997
Pr  0.4997  0.4997  0.5009
Dy  0.0639  0.0639  0.8083
Dy  0.2696  0.2696  0.1912

---

ΔE_f (raw) across the listed records, respectively: -591 -1817 -1895 -808 meV per atom.